[1]
SCAN Nb15IrS32, PBEsol geometry; symmetry = No. 1
1.0
8.813 0.000 0.000
-1.316 8.719 0.000
-3.702 -4.367 11.693
Nb Ir S
15 1 32
direct
0.000 0.000 0.000
0.009 0.502 0.500
0.140 0.911 0.499
0.251 0.753 0.000
0.273 0.269 0.499
0.387 0.634 0.501
0.391 0.140 0.999
0.508 0.023 0.500
0.534 0.533 0.000
0.623 0.911 0.999
0.644 0.390 0.500
0.765 0.788 0.499
0.782 0.286 0.000
0.881 0.147 0.499
0.896 0.640 0.000
0.116 0.418 0.999
0.000 0.518 0.142
0.018 0.535 0.857
0.029 0.040 0.366
0.124 0.375 0.633
0.124 0.881 0.137
0.154 0.408 0.366
0.156 0.911 0.871
0.227 0.262 0.112
0.240 0.749 0.626
0.274 0.307 0.887
0.280 0.787 0.371
0.366 0.617 0.127
0.375 0.132 0.637
0.404 0.161 0.363
0.405 0.664 0.868
0.484 0.005 0.134
0.500 0.503 0.635
0.530 0.050 0.865
0.535 0.540 0.371
0.618 0.877 0.631
0.622 0.378 0.128
0.650 0.913 0.363
0.655 0.411 0.862
0.744 0.764 0.132
0.746 0.254 0.635
0.771 0.789 0.867
0.775 0.282 0.361
0.869 0.130 0.131
0.870 0.629 0.629
0.910 0.666 0.374
0.918 0.169 0.873
0.998 0.008 0.635

[2]
SCAN NbSbTe2Ir, PBEsol geometry; symmetry = No. 123
1.0
5.162 0.000 0.000
0.000 5.162 0.000
0.000 0.000 5.216
Nb Sb Te Ir
1 1 2 1
direct
0.000 0.000 0.000
0.000 0.000 0.500
0.000 0.500 0.000
0.500 0.000 0.000
0.500 0.500 0.500

| no. | uncorrected formation energy (eV/atom) |
| --- | --- |
| 1 | -1.049 |
| 2 | 1.319 |